# 1
VASP calculation (PBE-GGA) on a relaxed structure of LaAl3Re.

## Properties
The calculation puts the relative energy among the computed polymorphs at 0.0000 eV/atom. The energy comes out at -30.053 eV/cell. Its formation enthalpy at 0 K is -0.29 eV/atom.

a b c (Å): 4.809 4.809 4.809
angles (deg): 90.00 90.00 90.00
Fractional positions:
La1 0.000 0.000 0.000
Al1 0.000 0.500 0.500
Al2 0.500 0.000 0.500
Al3 0.500 0.500 0.000
Re1 0.500 0.500 0.500



# 2
VASP calculation (PBE-GGA) on a relaxed structure of TiZn2TcOs.

## Properties
The energy comes out at -23.773 eV/cell. Its formation enthalpy at 0 K is 1.65 eV/atom.

a b c (Å): 4.665 4.665 4.239
angles (deg): 90.00 90.00 90.00
Fractional positions:
Ti1 0.000 0.000 0.000
Zn1 0.000 0.500 0.000
Zn2 0.500 0.000 0.000
Tc1 0.000 0.000 0.500
Os1 0.500 0.500 0.500



# 3
VASP calculation (PBE-GGA) on a relaxed structure of CdCuAg2Br6.

## Properties
The uncorrected formation energy is -9.59 kcal/mol of atoms. The energy comes out at -24.911 eV/cell.

a b c (Å): 6.894 7.011 7.323
angles (deg): 63.50 89.20 65.43
Fractional positions:
Cd1 0.000 0.000 0.000
Cu1 0.491 0.011 0.495
Ag1 0.320 0.391 0.920
Ag2 0.769 0.444 0.404
Br1 0.079 0.543 0.202
Br2 0.279 0.848 0.737
Br3 0.395 0.892 0.251
Br4 0.587 0.164 0.708
Br5 0.715 0.169 0.248
Br6 0.922 0.455 0.749



# 4
VASP calculation (PBE-GGA) on a relaxed structure of BaY3O.

## Properties
The uncorrected formation energy is 35.01 kcal/mol of atoms. The calculation puts the relative energy among the computed polymorphs at 2.3002 eV/atom. The energy comes out at -18.683 eV/cell.

a b c (Å): 5.662 5.662 5.662
angles (deg): 90.00 90.00 90.00
Fractional positions:
Ba1 0.000 0.000 0.000
Y1 0.000 0.000 0.500
Y2 0.000 0.500 0.000
Y3 0.500 0.000 0.000
O1 0.500 0.500 0.500